1.
Compound: LaMg2CdRh
Source: the Alexandria database
Functional: PBE
Structure: optimized geometry

Properties
Crystal system: tetragonal
Relative energy among the computed polymorphs (kJ/mol of formula units): 42.1
N(E_F) (states/eV/f.u.): 4.83
Formation energy (meV per atom): -211
Theoretical density (Mg/m³): 5.29

Cell lengths 4.912, 4.912, 5.246 Å; angles 90.00, 90.00, 90.00 degrees
Last column: magnetic moment on the atom in μB.
Atoms (fractional coordinates):
Cd 0.000 0.000 0.500  0.01
Mg 0.500 0.000 0.000  0.00
La 0.500 0.500 0.500  0.10
Rh 0.000 0.000 0.000  0.06
Mg 0.000 0.500 0.000  0.00

2.
Compound: B3IrRh5
Source: the Alexandria database
Functional: PBE
Structure: optimized geometry

Properties
Crystal system: monoclinic
N(E_F) (states/eV/f.u.): 12.18
Formation energy (meV per atom): -119
Theoretical density (Mg/m³): 10.81

Cell lengths 5.848, 5.848, 7.848 Å; angles 98.30, 113.71, 105.46 degrees
Atoms (fractional coordinates):
Rh 0.205 0.434 0.639
Ir 0.795 0.904 0.698
Rh 0.291 0.963 0.665
Rh 0.795 0.566 0.361
B 0.500 0.000 0.500
Rh 0.207 0.764 0.971
Rh 0.709 0.037 0.335
Ir 0.205 0.096 0.302
B 0.000 0.000 0.000
Rh 0.295 0.295 0.000
Rh 0.702 0.374 0.665
B 0.998 0.668 0.666
B 0.500 0.666 0.166
B 0.002 0.332 0.334
Rh 0.705 0.705 0.000
B 0.500 0.334 0.834
Rh 0.793 0.236 0.029
Rh 0.298 0.626 0.335

3.
Compound: CsRbZnGeSe
Source: the Alexandria database
Functional: PBE
Structure: optimized geometry

Properties
Crystal system: triclinic
Formation energy without anion corrections (eV/f.u.): -2.088
Relative energy among the computed polymorphs (kJ/mol of formula units): 0.0
Theoretical density (Mg/m³): 3.88

Cell lengths 4.655, 6.672, 7.101 Å; angles 62.72, 81.68, 71.81 degrees
Atoms (fractional coordinates):
Rb 0.741 0.914 0.947
Ge 0.068 0.223 0.181
Cs 0.000 0.574 0.575
Se 0.297 0.013 0.553
Zn 0.514 0.332 0.211

4.
Compound: PmErB4
Source: the Alexandria database
Functional: PBE
Structure: optimized geometry

Properties
Crystal system: orthorhombic
N(E_F) (states/eV/f.u.): 1.93
Formation energy (meV per atom): -329
Theoretical density (Mg/m³): 7.69

Cell lengths 3.991, 6.271, 12.262 Å; angles 90.00, 90.00, 90.00 degrees
Atoms (fractional coordinates):
B 0.500 0.033 0.694
Er 0.000 0.356 0.910
B 0.500 0.627 0.526
Pm 0.000 0.134 0.153
Er 0.000 0.856 0.590
B 0.500 0.704 0.692
B 0.500 0.116 0.548
B 0.500 0.204 0.808
Pm 0.000 0.866 0.847
B 0.500 0.616 0.952
B 0.500 0.373 0.474
B 0.500 0.796 0.192
Er 0.000 0.644 0.090
B 0.500 0.467 0.194
B 0.500 0.384 0.048
Er 0.000 0.144 0.410
B 0.500 0.127 0.974
B 0.500 0.296 0.308
Pm 0.000 0.366 0.653
B 0.500 0.873 0.026
Pm 0.000 0.634 0.347
B 0.500 0.533 0.806
B 0.500 0.967 0.306
B 0.500 0.884 0.452

5.
Compound: Ac2TlAu3
Source: the Alexandria database
Functional: PBE
Structure: optimized geometry

Properties
Crystal system: orthorhombic
Relative energy among the computed polymorphs (kJ/mol of formula units): 0.0
N(E_F) (states/eV/f.u.): 3.73
Formation energy (meV per atom): -680
Theoretical density (Mg/m³): 12.49

Cell lengths 6.281, 6.281, 9.478 Å; angles 104.99, 104.99, 102.68 degrees
Atoms (fractional coordinates):
Tl 0.335 0.335 0.669
Tl 0.665 0.665 0.331
Au 0.670 0.166 0.836
Au 0.833 0.833 0.666
Au 0.834 0.330 0.164
Au 0.330 0.834 0.164
Ac 0.759 0.759 0.000
Ac 0.750 0.250 0.500
Au 0.166 0.670 0.836
Ac 0.241 0.241 0.000
Au 0.167 0.167 0.334
Ac 0.250 0.750 0.500

6.
Compound: Tb2Pm6Dy3Tl
Source: the Alexandria database
Functional: PBE
Structure: optimized geometry

Properties
Crystal system: monoclinic
N(E_F) (states/eV/f.u.): 13.59
Formation energy (meV per atom): -16
Theoretical density (Mg/m³): 8.09

Cell lengths 6.199, 6.199, 11.801 Å; angles 95.07, 95.07, 120.14 degrees
Atoms (fractional coordinates):
Dy 0.168 0.832 0.500
Pm 0.082 0.410 0.249
Tb 0.666 0.334 0.000
Tl 0.000 0.000 0.000
Pm 0.410 0.082 0.249
Dy 0.500 0.500 0.500
Pm 0.918 0.590 0.751
Pm 0.755 0.755 0.250
Pm 0.590 0.918 0.751
Pm 0.245 0.245 0.750
Tb 0.334 0.666 0.000
Dy 0.832 0.168 0.500

7.
Compound: Hf2InMoOs
Source: the Alexandria database
Functional: PBE
Structure: optimized geometry

Properties
Crystal system: tetragonal
N(E_F) (states/eV/f.u.): 6.59
Formation energy (meV per atom): 968
Theoretical density (Mg/m³): 10.10

Cell lengths 5.092, 4.804, 5.092 Å; angles 90.00, 90.00, 90.00 degrees
Atoms (fractional coordinates):
Hf 0.500 0.000 0.000
In 0.500 0.500 0.500
Mo 0.000 0.000 0.000
Os 0.000 0.500 0.000
Hf 0.000 0.000 0.500

8.
Compound: FeCuSbI2
Source: the Alexandria database
Functional: PBE
Structure: optimized geometry

Properties
Crystal system: tetragonal
Formation energy without anion corrections (eV/f.u.): 3.805
Relative energy among the computed polymorphs (kJ/mol of formula units): 0.0
N(E_F) (states/eV/f.u.): 7.53
Theoretical density (Mg/m³): 5.94

Cell lengths 5.381, 5.381, 4.779 Å; angles 90.00, 90.00, 90.00 degrees
Atoms (fractional coordinates):
I 0.500 0.000 0.000
Fe 0.000 0.000 0.000
I 0.000 0.500 0.000
Sb 0.000 0.000 0.500
Cu 0.500 0.500 0.500

9.
Compound: Ni2H12Pd5
Source: the Alexandria database
Functional: PBE
Structure: optimized geometry

Properties
Uncorrected energy (eV for the cell shown): -77.86
Crystal system: monoclinic
N(E_F) (states/eV/f.u.): 2.62
Theoretical density (Mg/m³): 7.58

Cell lengths 4.950, 5.775, 5.856 Å; angles 104.92, 90.00, 115.38 degrees
Atoms (fractional coordinates):
Ni 0.248 0.000 0.000
Pd 0.692 0.383 0.834
Pd 0.702 0.405 0.351
Pd 0.298 0.595 0.649
H 0.405 0.300 0.569
H 0.004 0.008 0.816
H 0.910 0.339 0.090
H 0.497 0.993 0.803
Pd 0.308 0.617 0.166
H 0.996 0.992 0.184
H 0.595 0.700 0.431
Ni 0.752 0.000 0.000
H 0.894 0.300 0.569
H 0.503 0.007 0.197
H 0.428 0.339 0.090
Pd 0.000 0.000 0.500
H 0.106 0.700 0.431
H 0.572 0.661 0.910
H 0.090 0.661 0.910

10.
Compound: CaY2MgNi
Source: the Alexandria database
Functional: PBE
Structure: optimized geometry

Properties
Crystal system: tetragonal
Relative energy among the computed polymorphs (kJ/mol of formula units): 25.7
N(E_F) (states/eV/f.u.): 5.36
Formation energy (meV per atom): -35
Theoretical density (Mg/m³): 3.30

Cell lengths 5.232, 5.232, 5.532 Å; angles 90.00, 90.00, 90.00 degrees
Atoms (fractional coordinates):
Mg 0.500 0.500 0.500
Ca 0.000 0.000 0.500
Ni 0.000 0.000 0.000
Y 0.000 0.500 0.000
Y 0.500 0.000 0.000

11.
Compound: LiFeCo
Source: the Alexandria database
Functional: PBE
Structure: optimized geometry

Properties
Crystal system: tetragonal
Relative energy among the computed polymorphs (kJ/mol of formula units): 44.9
N(E_F) (states/eV/f.u.): 0.94
Formation energy (meV per atom): 280
Theoretical density (Mg/m³): 4.75

Cell lengths 3.707, 3.707, 6.195 Å; angles 90.00, 90.00, 90.00 degrees
Last column: magnetic moment on the atom in μB.
Atoms (fractional coordinates):
Li 0.500 0.000 0.838  -0.01
Fe 0.000 0.000 0.500  2.62
Li 0.000 0.500 0.162  -0.01
Co 0.000 0.500 0.730  1.63
Co 0.500 0.000 0.270  1.63
Fe 0.500 0.500 0.500  2.62

12.
Compound: TaTiPb2N
Source: the Alexandria database
Functional: PBE
Structure: optimized geometry

Properties
Crystal system: tetragonal
Formation energy without anion corrections (eV/f.u.): 8.381
N(E_F) (states/eV/f.u.): 3.84
Theoretical density (Mg/m³): 7.49

Cell lengths 5.538, 4.752, 5.538 Å; angles 90.00, 90.00, 90.00 degrees
Last column: magnetic moment on the atom in μB.
Atoms (fractional coordinates):
Ti 0.000 0.500 0.000  -0.15
N 0.500 0.500 0.500  1.58
Ta 0.000 0.000 0.000  0.19
Pb 0.000 0.000 0.500  -0.01
Pb 0.500 0.000 0.000  0.01